DFT (GGA-PBE) results for HoTcBrO4 after structural relaxation.

Cell: 6.3588 6.3588 6.9107 Å, 102.16 102.16 67.73°
Positions (direct):
Ho: 0.2268 0.2268 0.1038
Ho: 0.7732 0.7732 0.8962
Tc: 0.3678 0.3678 0.7198
Tc: 0.6322 0.6322 0.2802
Br: 0.0104 0.0104 0.7550
Br: 0.9896 0.9896 0.2450
O: 0.1187 0.4847 0.8565
O: 0.2892 0.2892 0.4648
O: 0.4611 0.4611 0.2102
O: 0.4847 0.1187 0.8565
O: 0.5153 0.8813 0.1435
O: 0.5389 0.5389 0.7898
O: 0.7108 0.7108 0.5352
O: 0.8813 0.5153 0.1435

- SG = No. 12
- raw formation energy (kcal/mol of atoms) = -45.7